The following is a DFT calculation (PBE) of a relaxed Rb2CdOsF6 crystal. Values from VASP.

Geometry as Quantum ESPRESSO input:
```
&SYSTEM
  ibrav = 0, nat = 10, ntyp = 4
/
ATOMIC_SPECIES
F 19.00 F.upf
Rb 85.47 Rb.upf
Cd 112.41 Cd.upf
Os 190.23 Os.upf
CELL_PARAMETERS angstrom
-0.5183 6.1693 -0.4907
-6.1676 -0.4742 0.5528
-2.9811 3.2248 4.3916
ATOMIC_POSITIONS crystal
F 0.2447 0.7553 0.0000
F 0.7554 0.7554 0.4893
F 0.7553 0.2447 0.0000
F 0.2446 0.2446 0.5107
F 0.2447 0.2447 0.0000
F 0.7553 0.7553 0.0000
Rb 0.2500 0.7500 0.5000
Rb 0.7500 0.2500 0.5000
Cd 0.5000 0.5000 0.0000
Os 0.0000 0.0000 0.0000
```

Properties
- Volume: 16.94 Å³ per atom
- Size of the total moment: 0.00 Bohr magnetons per cell
- Energy relative to the elements, uncorrected: -1803 kJ/mol of formula units
- DFT total energy: -4.400 eV/atom